1.
The following is a PBE calculation of a geometry-optimized Tc3NiSb structure, from Alexandria via LeMat-Bulk.

Cell lengths 4.786, 4.786, 4.786 Å; angles 90.00, 90.00, 90.00 degrees
Atoms (fractional coordinates):
Tc: 0.000 0.000 0.500
Tc: 0.000 0.500 0.000
Tc: 0.500 0.000 0.000
Ni: 0.500 0.500 0.500
Sb: 0.000 0.000 0.000

theoretical density	7.2	g/cm3
uncorrected formation energy	2.2555	eV/atom
offset from the most stable computed form	491	kJ/mol of formula units
total magnetization	0.001	μB per cell

***

2.
The following is a PBE calculation of a geometry-optimized PaPd7Pt2 structure, from Alexandria via LeMat-Bulk.

Cell lengths 6.188, 6.188, 4.901 Å; angles 96.41, 96.41, 84.93 degrees
Atoms (fractional coordinates):
Pa: 0.000 0.000 0.000
Pd: 0.082 0.415 0.246
Pd: 0.339 0.661 0.000
Pd: 0.415 0.082 0.246
Pd: 0.500 0.500 0.500
Pd: 0.585 0.918 0.754
Pd: 0.661 0.339 0.000
Pd: 0.918 0.585 0.754
Pt: 0.168 0.832 0.500
Pt: 0.832 0.168 0.500

theoretical density	12.3	g/cm3
total magnetization	0.000	μB per cell
calculated formation energy	-0.22	eV per atom

***

3.
The following is a PBE calculation of a geometry-optimized Sr2Sc2Sb2H structure, from Alexandria via LeMat-Bulk.

Cell lengths 9.164, 9.164, 9.164 Å; angles 151.10, 151.10, 41.33 degrees
Atoms (fractional coordinates):
Sr: 0.174 0.174 0.000
Sr: 0.826 0.826 0.000
Sc: 0.000 0.500 0.500
Sc: 0.500 0.000 0.500
Sb: 0.379 0.379 0.000
Sb: 0.621 0.621 0.000
H: 0.000 0.000 0.000

theoretical density	4.7	g/cm3
total magnetization	2.118	μB per cell

***

4.
The following is a PBE calculation of a geometry-optimized ErZn2Cd structure, from Alexandria via LeMat-Bulk.

Cell lengths 10.426, 10.426, 4.604 Å; angles 90.00, 90.00, 160.95 degrees
Atoms (fractional coordinates):
Er: 0.093 0.907 0.750
Er: 0.907 0.093 0.250
Zn: 0.270 0.730 0.250
Zn: 0.471 0.529 0.750
Zn: 0.529 0.471 0.250
Zn: 0.730 0.270 0.750
Cd: 0.339 0.661 0.750
Cd: 0.661 0.339 0.250

theoretical density	8.3	g/cm3
total magnetization	0.000	μB per cell
calculated formation energy	-0.24	eV per atom

***

no.,electronic total energy (eV/atom)
1,-5.945
2,-6.010
3,-4.769
4,-2.244